# Tl2BS4

A relaxed Tl2BS4 crystal (PBE, Alexandria).

Cell lengths 6.388, 6.093, 9.595 Å; angles 90.00, 110.35, 90.00 degrees
Sites, in units of the cell vectors:
S  0.166  0.750  0.351
Tl  0.309  0.250  0.448
S  0.482  0.502  0.207
S  0.963  0.250  0.997
S  0.482  0.998  0.207
S  0.834  0.250  0.649
S  0.518  0.498  0.793
B  0.283  0.750  0.192
Tl  0.691  0.750  0.552
Tl  0.240  0.250  0.861
S  0.037  0.750  0.003
S  0.518  0.002  0.793
B  0.717  0.250  0.808
Tl  0.760  0.750  0.139

Calculated values
mass density: 5.20 g/cm3
formation energy without anion corrections: -122 meV/atom
VASP energy: -57.54 eV for the cell shown